Record 1
Entry from Alexandria: an optimized crystal structure of CaTbGaRh (GGA-PBE).

```
data_CaTbGaRh
_chemical_formula_sum 'Ca1 Tb1 Ga1 Rh1'
_symmetry_space_group_name_H-M 'P 1'
_symmetry_Int_Tables_number 1
_cell_length_a 4.056
_cell_length_b 6.042
_cell_length_c 6.042
_cell_angle_alpha 39.43
_cell_angle_beta 90.00
_cell_angle_gamma 90.00
loop_
_symmetry_equiv_pos_as_xyz
'x,y,z'
loop_
_atom_site_label
_atom_site_type_symbol
_atom_site_fract_x
_atom_site_fract_y
_atom_site_fract_z
Ca1 Ca 0.000 0.000 0.000
Tb1 Tb 0.500 0.289 0.289
Ga1 Ga 0.500 0.587 0.587
Rh1 Rh 0.000 0.727 0.727
```

The calculated volume is 94.05 Å³/cell. The value obtained for the total moment is 0.0000 μB/atom. As for the crystal system: orthorhombic. For the polymorph energy (0 for the lowest one), the calculation gives 0.000 eV per formula unit.



Record 2
Entry from Alexandria: an optimized crystal structure of CaTbGaRh (GGA-PBE).

```
data_CaTbGaRh
_chemical_formula_sum 'Ca1 Tb1 Ga1 Rh1'
_symmetry_space_group_name_H-M 'P 1'
_symmetry_Int_Tables_number 1
_cell_length_a 4.975
_cell_length_b 4.975
_cell_length_c 4.975
_cell_angle_alpha 60.00
_cell_angle_beta 60.00
_cell_angle_gamma 60.00
loop_
_symmetry_equiv_pos_as_xyz
'x,y,z'
loop_
_atom_site_label
_atom_site_type_symbol
_atom_site_fract_x
_atom_site_fract_y
_atom_site_fract_z
Ca1 Ca 0.000 0.000 0.000
Tb1 Tb 0.500 0.500 0.500
Ga1 Ga 0.750 0.750 0.750
Rh1 Rh 0.250 0.250 0.250
```

The calculated volume is 87.06 Å³/cell. The value obtained for the total moment is 0.0000 μB/atom. As for the crystal system: cubic. For the polymorph energy (0 for the lowest one), the calculation gives 0.426 eV per formula unit.



Record 3
Entry from Alexandria: an optimized crystal structure of Ca2TlGaRh (GGA-PBE).

```
data_Ca2TlGaRh
_chemical_formula_sum 'Ca2 Tl1 Ga1 Rh1'
_symmetry_space_group_name_H-M 'P 1'
_symmetry_Int_Tables_number 1
_cell_length_a 5.485
_cell_length_b 5.485
_cell_length_c 4.786
_cell_angle_alpha 90.00
_cell_angle_beta 90.00
_cell_angle_gamma 90.00
loop_
_symmetry_equiv_pos_as_xyz
'x,y,z'
loop_
_atom_site_label
_atom_site_type_symbol
_atom_site_fract_x
_atom_site_fract_y
_atom_site_fract_z
Ca1 Ca 0.000 0.500 0.000
Ca2 Ca 0.500 0.000 0.000
Tl1 Tl 0.000 0.000 0.500
Ga1 Ga 0.500 0.500 0.500
Rh1 Rh 0.500 0.500 0.000
```

As for the energy: -18.5 eV per cell. The calculated volume is 144.00 Å³/cell. The value obtained for the total moment is 0.0000 μB/atom. As for the crystal system: tetragonal.



Record 4
Entry from Alexandria: an optimized crystal structure of Ca2TlGa2Rh5 (GGA-PBE).

```
data_Ca2TlGa2Rh5
_chemical_formula_sum 'Ca4 Tl2 Ga4 Rh10'
_symmetry_space_group_name_H-M 'P 1'
_symmetry_Int_Tables_number 1
_cell_length_a 9.996
_cell_length_b 9.996
_cell_length_c 3.565
_cell_angle_alpha 90.00
_cell_angle_beta 90.00
_cell_angle_gamma 90.00
loop_
_symmetry_equiv_pos_as_xyz
'x,y,z'
loop_
_atom_site_label
_atom_site_type_symbol
_atom_site_fract_x
_atom_site_fract_y
_atom_site_fract_z
Ca1 Ca 0.175 0.325 0.000
Ca2 Ca 0.325 0.825 0.000
Ca3 Ca 0.675 0.175 0.000
Ca4 Ca 0.825 0.675 0.000
Tl1 Tl 0.000 0.000 0.000
Tl2 Tl 0.500 0.500 0.000
Ga1 Ga 0.124 0.624 0.000
Ga2 Ga 0.376 0.124 0.000
Ga3 Ga 0.624 0.876 0.000
Ga4 Ga 0.876 0.376 0.000
Rh1 Rh 0.000 0.500 0.500
Rh2 Rh 0.067 0.789 0.500
Rh3 Rh 0.211 0.067 0.500
Rh4 Rh 0.289 0.567 0.500
Rh5 Rh 0.433 0.289 0.500
Rh6 Rh 0.500 0.000 0.500
Rh7 Rh 0.567 0.711 0.500
Rh8 Rh 0.711 0.433 0.500
Rh9 Rh 0.789 0.933 0.500
Rh10 Rh 0.933 0.211 0.500
```

As for the energy: -108.2 eV per cell. The calculated volume is 356.26 Å³/cell. The value obtained for the total moment is 0.0000 μB/atom. As for the crystal system: tetragonal.